TmMg3Cd4 after structural relaxation, computed with GGA-PBE.

Total energy = -14.4 eV/f.u.
Crystal system = orthorhombic
Calculated formation energy = -179 meV/atom
Mass density = 6.43 Mg/m³

```
TmMg3Cd4
1.0
4.862 0.000 0.000
0.000 7.555 0.000
0.000 0.000 9.723
Mg Cd Tm
6 8 2
Direct
0.000 0.000 0.500
0.499 0.000 0.250
0.501 0.000 0.750
0.499 0.500 0.250
0.501 0.500 0.750
0.000 0.000 0.000
0.001 0.242 0.750
0.001 0.758 0.750
0.999 0.758 0.250
0.500 0.242 0.500
0.500 0.242 0.000
0.500 0.758 0.000
0.500 0.758 0.500
0.999 0.242 0.250
0.000 0.500 0.500
0.000 0.500 0.000
```